[1]
Compound: SbTeF2
Source: the Alexandria database
Functional: GGA-PBE
Structure: optimized geometry

POSCAR file:
```
SbTeF2
1.0
1.642 0.948 8.759
-1.642 0.948 8.759
0.000 -1.896 8.759
Sb Te F
1 1 2
direct
0.000 0.000 0.000 Sb
0.500 0.500 0.500 Te
0.419 0.419 0.419 F
0.581 0.581 0.581 F
```

Summary:
Energy relative to the lowest polymorph listed for this composition   1.69 eV/f.u.
Total energy   -3.7558 eV per atom
M_tot   0.000 μB/f.u.

---

[2]
Compound: TaBi3Rh
Source: the Alexandria database
Functional: GGA-PBE
Structure: optimized geometry

POSCAR file:
```
TaBi3Rh
1.0
5.420 0.000 0.000
0.000 5.420 0.000
0.000 0.000 5.420
Ta Bi Rh
1 3 1
direct
0.000 0.000 0.000 Ta
0.000 0.000 0.500 Bi
0.000 0.500 0.000 Bi
0.500 0.000 0.000 Bi
0.500 0.500 0.500 Rh
```

Summary:
ΔE_f   1058 meV/atom
Energy relative to the lowest polymorph listed for this composition   0.09 eV/f.u.
Total energy   -5.1112 eV per atom
M_tot   0.323 μB/f.u.

---

> What is the M_tot in the first record?

0.000 μB/f.u.